Arrangement w

Density functional theory data (GGA-PBE) for a relaxed structure of Th2Al3Hg.

- Density: 8.5 Mg/m³
- Space-group type: Fmmm, No. 69

abc: 8.945 8.803 6.131
angles: 71.05 68.55 40.40
Fractional coordinates of all 12 atoms:
Th (0.247, 0.753, 0.753)
Th (0.250, 0.250, 0.250)
Th (0.750, 0.750, 0.750)
Th (0.753, 0.247, 0.247)
Al (0.164, 0.671, 0.329)
Al (0.165, 0.165, 0.835)
Al (0.329, 0.836, 0.164)
Al (0.671, 0.164, 0.836)
Al (0.835, 0.835, 0.165)
Al (0.836, 0.329, 0.671)
Hg (0.334, 0.334, 0.666)
Hg (0.666, 0.666, 0.334)

***

Arrangement x

Density functional theory data (GGA-PBE) for a relaxed structure of Th2Al3Hg.

- Density: 8.5 Mg/m³
- Space-group type: Imm2, No. 44

abc: 8.343 8.343 8.343
angles: 150.69 148.91 43.25
Fractional coordinates of all 6 atoms:
Th (0.000, 0.000, 0.000)
Th (0.770, 0.270, 0.500)
Al (0.178, 0.678, 0.500)
Al (0.341, 0.841, 0.500)
Al (0.428, 0.428, 0.000)
Hg (0.595, 0.595, 0.000)

***

Which is most stable, and by how much? arrangement w, by 0.006 eV/atom.

***

Arrangement w

Density functional theory data (GGA-PBE) for a relaxed structure of Th2AlHg3.

- Density: 12.1 Mg/m³
- Space-group type: Pmm2, No. 25

abc: 3.572 4.923 8.510
angles: 90.00 90.00 90.00
Fractional coordinates of all 6 atoms:
Th (0.000, 0.000, 0.000)
Th (0.000, 0.500, 0.493)
Al (0.500, 0.000, 0.326)
Hg (0.500, 0.000, 0.651)
Hg (0.500, 0.500, 0.172)
Hg (0.500, 0.500, 0.831)

***

Arrangement x

Density functional theory data (GGA-PBE) for a relaxed structure of Th2AlHg3.

- Density: 12.0 Mg/m³
- Space-group type: Fmmm, No. 69

abc: 9.772 9.212 6.099
angles: 76.33 66.34 37.33
Fractional coordinates of all 12 atoms:
Th (0.242, 0.758, 0.758)
Th (0.250, 0.250, 0.250)
Th (0.750, 0.750, 0.750)
Th (0.758, 0.242, 0.242)
Al (0.334, 0.334, 0.666)
Al (0.666, 0.666, 0.334)
Hg (0.172, 0.172, 0.828)
Hg (0.173, 0.657, 0.343)
Hg (0.343, 0.827, 0.173)
Hg (0.657, 0.173, 0.827)
Hg (0.827, 0.343, 0.657)
Hg (0.828, 0.828, 0.172)

***

Which is most stable, and by how much? arrangement w, by 0.014 eV/atom.

***

Arrangement w

Density functional theory data (GGA-PBE) for a relaxed structure of TiAlHg3.

- Density: 8.9 Mg/m³
- Space-group type: Pm-3m, No. 221

abc: 5.012 5.012 5.012
angles: 90.00 90.00 90.00
Fractional coordinates of all 5 atoms:
Ti (0.000, 0.000, 0.000)
Al (0.500, 0.500, 0.500)
Hg (0.000, 0.500, 0.500)
Hg (0.500, 0.000, 0.500)
Hg (0.500, 0.500, 0.000)

***

Arrangement x

Density functional theory data (GGA-PBE) for a relaxed structure of TiAlHg3.

- Density: 7.2 Mg/m³
- Space-group type: Pm-3m, No. 221

abc: 5.377 5.377 5.377
angles: 90.00 90.00 90.00
Fractional coordinates of all 5 atoms:
Ti (0.000, 0.000, 0.000)
Al (0.500, 0.500, 0.500)
Hg (0.000, 0.000, 0.500)
Hg (0.000, 0.500, 0.000)
Hg (0.500, 0.000, 0.000)

***

Which is most stable, and by how much? arrangement x, by 0.013 eV/atom.

***

Arrangement w

Density functional theory data (GGA-PBE) for a relaxed structure of Ti2Al2Hg.

- Density: 6.7 Mg/m³
- Space-group type: P4/mbm, No. 127

abc: 7.229 7.229 3.317
angles: 90.00 90.00 90.00
Fractional coordinates of all 10 atoms:
Ti (0.175, 0.325, 0.000)
Ti (0.325, 0.825, 0.000)
Ti (0.675, 0.175, 0.000)
Ti (0.825, 0.675, 0.000)
Al (0.122, 0.622, 0.500)
Al (0.378, 0.122, 0.500)
Al (0.622, 0.878, 0.500)
Al (0.878, 0.378, 0.500)
Hg (0.000, 0.000, 0.500)
Hg (0.500, 0.500, 0.500)

***

Arrangement x

Density functional theory data (GGA-PBE) for a relaxed structure of Ti2Al2Hg.

- Density: 6.3 Mg/m³
- Space-group type: P4/mbm, No. 127

abc: 7.763 7.763 3.074
angles: 90.00 90.00 90.00
Fractional coordinates of all 10 atoms:
Ti (0.119, 0.381, 0.000)
Ti (0.381, 0.881, 0.000)
Ti (0.619, 0.119, 0.000)
Ti (0.881, 0.619, 0.000)
Al (0.180, 0.680, 0.500)
Al (0.320, 0.180, 0.500)
Al (0.680, 0.820, 0.500)
Al (0.820, 0.320, 0.500)
Hg (0.000, 0.000, 0.000)
Hg (0.500, 0.500, 0.000)

***

Which is most stable, and by how much? arrangement w, by 0.142 eV/atom.

***

Arrangement w

Density functional theory data (GGA-PBE) for a relaxed structure of Ti2AlHg.

- Density: 7.1 Mg/m³
- Space-group type: I-42d, No. 122

abc: 5.938 5.938 5.938
angles: 102.21 102.21 125.23
Fractional coordinates of all 8 atoms:
Ti (0.122, 0.625, 0.997)
Ti (0.375, 0.372, 0.497)
Ti (0.628, 0.125, 0.003)
Ti (0.875, 0.878, 0.503)
Al (0.000, 0.000, 0.000)
Al (0.750, 0.250, 0.500)
Hg (0.250, 0.750, 0.500)
Hg (0.500, 0.500, 0.000)

***

Arrangement x

Density functional theory data (GGA-PBE) for a relaxed structure of Ti2AlHg.

- Density: 7.4 Mg/m³
- Space-group type: R3m, No. 160

abc: 9.615 9.615 9.615
angles: 17.81 17.81 17.81
Fractional coordinates of all 4 atoms:
Ti (0.000, 0.000, 0.000)
Ti (0.174, 0.174, 0.174)
Al (0.587, 0.587, 0.587)
Hg (0.754, 0.754, 0.754)

***

Arrangement y

Density functional theory data (GGA-PBE) for a relaxed structure of Ti2AlHg.

- Density: 7.7 Mg/m³
- Space-group type: P4/mmm, No. 123

abc: 2.867 2.867 8.464
angles: 90.00 90.00 90.00
Fractional coordinates of all 4 atoms:
Ti (0.000, 0.000, 0.229)
Ti (0.000, 0.000, 0.771)
Al (0.500, 0.500, 0.000)
Hg (0.500, 0.500, 0.500)

***

Arrangement z

Density functional theory data (GGA-PBE) for a relaxed structure of Ti2AlHg.

- Density: 7.8 Mg/m³
- Space-group type: P4/mmm, No. 123

abc: 4.022 4.022 4.266
angles: 90.00 90.00 90.00
Fractional coordinates of all 4 atoms:
Ti (0.000, 0.500, 0.000)
Ti (0.500, 0.000, 0.000)
Al (0.000, 0.000, 0.500)
Hg (0.500, 0.500, 0.500)

***

Which is most stable, and by how much? arrangement y, by 0.021 eV/atom.

***

Arrangement w

Density functional theory data (GGA-PBE) for a relaxed structure of Ti2AlHg2.

- Density: 9.0 Mg/m³
- Space-group type: P4/mbm, No. 127

abc: 6.978 6.978 3.965
angles: 90.00 90.00 90.00
Fractional coordinates of all 10 atoms:
Ti (0.164, 0.336, 0.000)
Ti (0.336, 0.836, 0.000)
Ti (0.664, 0.164, 0.000)
Ti (0.836, 0.664, 0.000)
Al (0.000, 0.000, 0.500)
Al (0.500, 0.500, 0.500)
Hg (0.141, 0.641, 0.500)
Hg (0.359, 0.141, 0.500)
Hg (0.641, 0.859, 0.500)
Hg (0.859, 0.359, 0.500)

***

Arrangement x

Density functional theory data (GGA-PBE) for a relaxed structure of Ti2AlHg2.

- Density: 8.7 Mg/m³
- Space-group type: P4/mbm, No. 127

abc: 6.960 6.960 4.112
angles: 90.00 90.00 90.00
Fractional coordinates of all 10 atoms:
Ti (0.138, 0.362, 0.000)
Ti (0.362, 0.862, 0.000)
Ti (0.638, 0.138, 0.000)
Ti (0.862, 0.638, 0.000)
Al (0.000, 0.000, 0.000)
Al (0.500, 0.500, 0.000)
Hg (0.161, 0.661, 0.500)
Hg (0.339, 0.161, 0.500)
Hg (0.661, 0.839, 0.500)
Hg (0.839, 0.339, 0.500)

***

Which is most stable, and by how much? arrangement w, by 0.023 eV/atom.